(1)
HoZrAs2 (PBE, relaxed); density = 7.459 Mg/m³; energy relative to the elements = -1228 meV per atom; V = 90 Å³ per cell; crystal system = trigonal; energy above the most stable polymorph in this dataset = 89 meV/atom
1.0
1.951 1.127 6.851
-1.951 1.127 6.851
0.000 -2.253 6.851
Ho Zr As
1 1 2
direct
0.000 0.000 0.000 Ho
0.827 0.827 0.827 Zr
0.415 0.415 0.415 As
0.575 0.575 0.575 As

=====

(2)
Ho5ZrAs6 (PBE, relaxed); density = 8.027 Mg/m³; energy relative to the elements = -1463 meV per atom; V = 282 Å³ per cell; crystal system = monoclinic
1.0
3.511 -6.077 0.000
3.511 6.077 0.000
-2.341 0.000 6.620
Ho Zr As
5 1 6
direct
0.000 0.000 0.000 Ho
0.166 0.834 0.500 Ho
0.331 0.669 0.000 Ho
0.669 0.331 0.000 Ho
0.834 0.166 0.500 Ho
0.500 0.500 0.500 Zr
0.093 0.419 0.255 As
0.257 0.257 0.747 As
0.419 0.093 0.255 As
0.581 0.907 0.745 As
0.743 0.743 0.253 As
0.907 0.581 0.745 As

=====

(3)
HoZr2As4 (PBE, relaxed); density = 6.740 Mg/m³; energy relative to the elements = -926 meV per atom; V = 319 Å³ per cell; crystal system = orthorhombic
1.0
1.942 -6.456 0.000
1.942 6.456 0.000
0.000 0.000 12.714
Ho Zr As
2 4 8
direct
0.108 0.892 0.750 Ho
0.892 0.108 0.250 Ho
0.365 0.635 0.556 Zr
0.365 0.635 0.944 Zr
0.635 0.365 0.056 Zr
0.635 0.365 0.444 Zr
0.000 0.000 0.000 As
0.000 0.000 0.500 As
0.263 0.737 0.133 As
0.263 0.737 0.367 As
0.444 0.556 0.750 As
0.556 0.444 0.250 As
0.737 0.263 0.633 As
0.737 0.263 0.867 As

=====

(4)
HoZrAs2 (PBE, relaxed); density = 7.591 Mg/m³; energy relative to the elements = -1317 meV per atom; V = 89 Å³ per cell; crystal system = trigonal; energy above the most stable polymorph in this dataset = 0 meV/atom
1.0
1.977 1.142 6.558
-1.977 1.142 6.558
0.000 -2.283 6.558
Ho Zr As
1 1 2
direct
0.000 0.000 0.000 Ho
0.500 0.500 0.500 Zr
0.246 0.246 0.246 As
0.754 0.754 0.754 As

=====

What did the third record say?
HoZr2As4 (PBE, relaxed); density = 6.740 Mg/m³; energy relative to the elements = -926 meV per atom; V = 319 Å³ per cell; crystal system = orthorhombic
1.0
1.942 -6.456 0.000
1.942 6.456 0.000
0.000 0.000 12.714
Ho Zr As
2 4 8
direct
0.108 0.892 0.750 Ho
0.892 0.108 0.250 Ho
0.365 0.635 0.556 Zr
0.365 0.635 0.944 Zr
0.635 0.365 0.056 Zr
0.635 0.365 0.444 Zr
0.000 0.000 0.000 As
0.000 0.000 0.500 As
0.263 0.737 0.133 As
0.263 0.737 0.367 As
0.444 0.556 0.750 As
0.556 0.444 0.250 As
0.737 0.263 0.633 As
0.737 0.263 0.867 As

=====

- Among the records above, which one has the highest density?
  Ho5ZrAs6